(1)
# CuAgHgAs, relaxed, DFT PBE
data_CuAgHgAs
_symmetry_space_group_name_H-M 'F -4 3 m'
_symmetry_Int_Tables_number 216
_symmetry_space_group_name_Hall 'F -4 2 3'
_cell_length_a 6.642
_cell_length_b 6.642
_cell_length_c 6.642
_cell_angle_alpha 90.00
_cell_angle_beta 90.00
_cell_angle_gamma 90.00
loop_
_atom_site_label
_atom_site_type_symbol
_atom_site_fract_x
_atom_site_fract_y
_atom_site_fract_z
_atom_site_occupancy
Cu1 Cu 0.000 0.000 0.000 1
Ag1 Ag 0.000 0.000 0.500 1
Hg1 Hg 0.250 0.250 0.750 1
As1 As 0.250 0.250 0.250 1
# E above lowest polymorph, eV/f.u.: 0.00
# VASP energy, eV per atom: -2.592

(2)
# NdPaAsO, relaxed, DFT PBE
data_NdPaAsO
_symmetry_space_group_name_H-M 'P 4/n m m'
_symmetry_Int_Tables_number 129
_cell_length_a 4.262
_cell_length_b 4.262
_cell_length_c 9.620
_cell_angle_alpha 90.00
_cell_angle_beta 90.00
_cell_angle_gamma 90.00
loop_
_symmetry_equiv_pos_as_xyz
'x,y,z'
'-x,-y,-z'
'-y+1/2,x,z'
'y+1/2,-x,-z'
'-x+1/2,-y+1/2,z'
'x+1/2,y+1/2,-z'
'y,-x+1/2,z'
'-y,x+1/2,-z'
'x+1/2,-y,-z'
'-x+1/2,y,z'
'-y,-x,-z'
'y,x,z'
'-x,y+1/2,-z'
'x,-y+1/2,z'
'y+1/2,x+1/2,-z'
'-y+1/2,-x+1/2,z'
loop_
_atom_site_label
_atom_site_type_symbol
_atom_site_fract_x
_atom_site_fract_y
_atom_site_fract_z
_atom_site_occupancy
Nd1 Nd 0.250 0.250 0.111 1
Pa1 Pa 0.250 0.750 0.500 1
As1 As 0.250 0.250 0.717 1
O1 O 0.250 0.750 0.000 1
# E above lowest polymorph, eV/f.u.: 0.00
# VASP energy, eV per atom: -7.243

(3)
# CsNaZrS3, relaxed, DFT PBE
data_CsNaZrS3
_symmetry_space_group_name_H-M 'P 1 21/m 1'
_symmetry_Int_Tables_number 11
_cell_length_a 9.124
_cell_length_b 3.955
_cell_length_c 10.005
_cell_angle_alpha 90.00
_cell_angle_beta 110.38
_cell_angle_gamma 90.00
loop_
_symmetry_equiv_pos_as_xyz
'x,y,z'
'-x,-y,-z'
'-x,y+1/2,-z'
'x,-y+1/2,z'
loop_
_atom_site_label
_atom_site_type_symbol
_atom_site_fract_x
_atom_site_fract_y
_atom_site_fract_z
_atom_site_occupancy
Cs1 Cs 0.242 0.250 0.260 1
Na1 Na 0.055 0.250 0.611 1
Zr1 Zr 0.328 0.750 0.855 1
S1 S 0.154 0.250 0.888 1
S2 S 0.242 0.750 0.589 1
S3 S 0.475 0.750 0.135 1
# E above lowest polymorph, eV/f.u.: 0.01
# VASP energy, eV per atom: -5.190

(4)
# ScAl2Hg, relaxed, DFT PBE
data_ScAl2Hg
_symmetry_space_group_name_H-M 'C m c m'
_symmetry_Int_Tables_number 63
_symmetry_space_group_name_Hall '-C 2c 2'
_cell_length_a 6.156
_cell_length_b 10.077
_cell_length_c 4.864
_cell_angle_alpha 90.00
_cell_angle_beta 90.00
_cell_angle_gamma 90.00
loop_
_atom_site_label
_atom_site_type_symbol
_atom_site_fract_x
_atom_site_fract_y
_atom_site_fract_z
_atom_site_occupancy
Sc1 Sc 0.000 0.155 0.250 1
Al1 Al 0.229 0.422 0.250 1
Hg1 Hg 0.000 0.320 0.750 1
# VASP energy, eV per atom: -3.825

(5)
# RePbNO, relaxed, DFT PBE
data_RePbNO
_symmetry_space_group_name_H-M 'P c a 21'
_symmetry_Int_Tables_number 29
_cell_length_a 6.842
_cell_length_b 7.782
_cell_length_c 4.972
_cell_angle_alpha 90.00
_cell_angle_beta 90.00
_cell_angle_gamma 90.00
loop_
_symmetry_equiv_pos_as_xyz
'x,y,z'
'-x,-y,z+1/2'
'-x+1/2,y,z+1/2'
'x+1/2,-y,z'
loop_
_atom_site_label
_atom_site_type_symbol
_atom_site_fract_x
_atom_site_fract_y
_atom_site_fract_z
_atom_site_occupancy
Re1 Re 0.041 0.057 0.000 1
Pb1 Pb 0.053 0.675 0.967 1
N1 N 0.197 0.051 0.663 1
O1 O 0.097 0.719 0.467 1
# E above lowest polymorph, eV/f.u.: 0.00
# VASP energy, eV per atom: -7.609

(6)
# PmNiPt, relaxed, DFT PBE
data_PmNiPt
_symmetry_space_group_name_H-M 'F -4 3 m'
_symmetry_Int_Tables_number 216
_symmetry_space_group_name_Hall 'F -4 2 3'
_cell_length_a 6.509
_cell_length_b 6.509
_cell_length_c 6.509
_cell_angle_alpha 90.00
_cell_angle_beta 90.00
_cell_angle_gamma 90.00
loop_
_atom_site_label
_atom_site_type_symbol
_atom_site_fract_x
_atom_site_fract_y
_atom_site_fract_z
_atom_site_occupancy
Pm1 Pm 0.000 0.000 0.000 1
Ni1 Ni 0.250 0.250 0.750 1
Pt1 Pt 0.250 0.250 0.250 1
# E above lowest polymorph, eV/f.u.: 1.54
# VASP energy, eV per atom: -5.460
# E_form, eV per atom: -0.004

(7)
# NpGaIr, relaxed, DFT PBE
data_NpGaIr
_symmetry_space_group_name_H-M 'F -4 3 m'
_symmetry_Int_Tables_number 216
_symmetry_space_group_name_Hall 'F -4 2 3'
_cell_length_a 6.399
_cell_length_b 6.399
_cell_length_c 6.399
_cell_angle_alpha 90.00
_cell_angle_beta 90.00
_cell_angle_gamma 90.00
loop_
_atom_site_label
_atom_site_type_symbol
_atom_site_fract_x
_atom_site_fract_y
_atom_site_fract_z
_atom_site_occupancy
Np1 Np 0.000 0.000 0.000 1
Ga1 Ga 0.000 0.000 0.500 1
Ir1 Ir 0.250 0.250 0.750 1
# VASP energy, eV per atom: -8.479

(8)
# Hf4CdAsC2, relaxed, DFT PBE
data_Hf4CdAsC2
_symmetry_space_group_name_H-M 'P -6 m 2'
_symmetry_Int_Tables_number 187
_symmetry_space_group_name_Hall 'P -6 2'
_cell_length_a 3.3551
_cell_length_b 3.3551
_cell_length_c 13.8243
_cell_angle_alpha 90.00
_cell_angle_beta 90.00
_cell_angle_gamma 120.00
loop_
_atom_site_label
_atom_site_type_symbol
_atom_site_fract_x
_atom_site_fract_y
_atom_site_fract_z
_atom_site_occupancy
Hf1 Hf 0.0000 0.0000 0.1410 1
Hf2 Hf 0.3333 0.6667 0.3194 1
Cd1 Cd 0.0000 0.0000 0.5000 1
As1 As 0.3333 0.6667 0.0000 1
C1 C 0.6667 0.3333 0.2317 1
# VASP energy, eV per atom: -8.738

Q: Which of these has the lowest VASP energy?
A: Hf4CdAsC2

Q: What is the formula in the fourth record?
A: ScAl2Hg

What did the first record say?
# CuAgHgAs, relaxed, DFT PBE
data_CuAgHgAs
_symmetry_space_group_name_H-M 'F -4 3 m'
_symmetry_Int_Tables_number 216
_symmetry_space_group_name_Hall 'F -4 2 3'
_cell_length_a 6.642
_cell_length_b 6.642
_cell_length_c 6.642
_cell_angle_alpha 90.00
_cell_angle_beta 90.00
_cell_angle_gamma 90.00
loop_
_atom_site_label
_atom_site_type_symbol
_atom_site_fract_x
_atom_site_fract_y
_atom_site_fract_z
_atom_site_occupancy
Cu1 Cu 0.000 0.000 0.000 1
Ag1 Ag 0.000 0.000 0.500 1
Hg1 Hg 0.250 0.250 0.750 1
As1 As 0.250 0.250 0.250 1
# E above lowest polymorph, eV/f.u.: 0.00
# VASP energy, eV per atom: -2.592

Q: Look up the VASP energy of the fifth one.
A: -7.609 eV per atom